Entry 1:
The following is a PBE-GGA calculation of a relaxed structure of Na2CdGe, from Alexandria.

- D(E_F) (states/eV/f.u.) = 2.14
- space-group type = No. 166
- magnetization (μB/cell) = 0.000
- ΔE_f (eV/atom) = 0.18

```
Na2CdGe
1.0
3.196 0.000 0.000
-1.598 2.768 0.000
0.000 0.000 33.910
Na Cd Ge
6 3 3
Direct
0.000 0.000 0.086
0.000 0.000 0.914
0.333 0.667 0.581
0.333 0.667 0.753
0.667 0.333 0.247
0.667 0.333 0.419
0.000 0.000 0.500
0.333 0.667 0.167
0.667 0.333 0.833
0.000 0.000 0.000
0.333 0.667 0.667
0.667 0.333 0.333
```


Entry 2:
The following is a PBE-GGA calculation of a relaxed structure of SrMn, from Alexandria.

- D(E_F) (states/eV/f.u.) = 1.90
- space-group type = No. 139
- magnetization (μB/cell) = 17.917
- ΔE_f (eV/atom) = 0.67

```
SrMn
1.0
11.620 0.000 0.000
0.000 11.620 0.000
0.000 0.000 4.094
Sr Mn
8 8
Direct
0.000 0.254 0.000
0.000 0.746 0.000
0.246 0.500 0.500
0.254 0.000 0.000
0.500 0.246 0.500
0.500 0.754 0.500
0.746 0.000 0.000
0.754 0.500 0.500
0.227 0.227 0.500
0.227 0.773 0.500
0.273 0.273 0.000
0.273 0.727 0.000
0.727 0.273 0.000
0.727 0.727 0.000
0.773 0.227 0.500
0.773 0.773 0.500
```


Entry 3:
The following is a PBE-GGA calculation of a relaxed structure of K2BaMn, from Alexandria.

- excess energy over the best structure of this formula in the dataset (eV/atom) = 0.2002
- D(E_F) (states/eV/f.u.) = 3.99
- space-group type = No. 47
- magnetization (μB/cell) = 4.177
- ΔE_f (eV/atom) = 0.68

```
K2BaMn
1.0
4.209 0.000 0.000
0.000 6.141 0.000
0.000 0.000 7.729
K Ba Mn
2 1 1
Direct
0.000 0.000 0.221
0.000 0.000 0.779
0.500 0.500 0.500
0.500 0.500 0.000
```


Entry 4:
The following is a PBE-GGA calculation of a relaxed structure of Li2La3Pm2Tl4, from Alexandria.

- D(E_F) (states/eV/f.u.) = 12.59
- space-group type = No. 164
- magnetization (μB/cell) = 0.072
- ΔE_f (eV/atom) = -0.22

```
Li2La3Pm2Tl4
1.0
5.211 0.000 0.000
-2.605 4.513 0.000
0.000 0.000 14.170
Li La Pm Tl
2 3 2 4
Direct
0.333 0.667 0.127
0.667 0.333 0.873
0.000 0.000 0.000
0.000 0.000 0.237
0.000 0.000 0.763
0.333 0.667 0.582
0.667 0.333 0.418
0.333 0.667 0.347
0.333 0.667 0.874
0.667 0.333 0.126
0.667 0.333 0.653
```


Entry 5:
The following is a PBE-GGA calculation of a relaxed structure of ThZr8Pa2, from Alexandria.

- D(E_F) (states/eV/f.u.) = 17.68
- space-group type = No. 8
- magnetization (μB/cell) = 0.000
- ΔE_f (eV/atom) = 0.16

```
ThZr8Pa2
1.0
10.666 -1.594 0.000
10.666 1.594 0.000
-3.277 0.000 8.096
Th Zr Pa
1 8 2
Direct
0.000 0.000 0.000
0.067 0.067 0.431
0.183 0.183 0.023
0.315 0.315 0.648
0.438 0.438 0.246
0.562 0.562 0.754
0.684 0.684 0.350
0.817 0.817 0.976
0.933 0.933 0.569
0.308 0.308 0.298
0.692 0.692 0.701
```


Entry 6:
The following is a PBE-GGA calculation of a relaxed structure of La3AgSnSe7, from Alexandria.

- energy relative to the elements, uncorrected (kJ per mole of atoms) = -135.77
- space-group type = No. 173
- magnetization (μB/cell) = 0.000

```
La3AgSnSe7
1.0
10.918 0.000 0.000
-5.459 9.455 0.000
0.000 0.000 6.315
La Ag Sn Se
6 2 2 14
Direct
0.133 0.777 0.000
0.223 0.357 0.000
0.357 0.133 0.500
0.643 0.867 0.000
0.777 0.643 0.500
0.867 0.223 0.500
0.000 0.000 0.439
0.000 0.000 0.939
0.333 0.667 0.582
0.667 0.333 0.082
0.089 0.514 0.754
0.103 0.834 0.477
0.166 0.270 0.477
0.270 0.103 0.977
0.333 0.667 0.182
0.425 0.911 0.754
0.486 0.575 0.754
0.514 0.425 0.254
0.575 0.089 0.254
0.667 0.333 0.682
0.730 0.897 0.477
0.834 0.730 0.977
0.897 0.166 0.977
0.911 0.486 0.254
```


Entry 7:
The following is a PBE-GGA calculation of a relaxed structure of K2NaSeF6, from Alexandria.

- energy relative to the elements, uncorrected (kJ per mole of atoms) = -211.08
- space-group type = No. 166
- magnetization (μB/cell) = 2.000

```
K2NaSeF6
1.0
3.029 1.749 11.027
-3.029 1.749 11.027
0.000 -3.497 11.027
K Na Se F
4 2 2 12
Direct
0.143 0.143 0.143
0.271 0.271 0.271
0.729 0.729 0.729
0.857 0.857 0.857
0.407 0.407 0.407
0.593 0.593 0.593
0.000 0.000 0.000
0.500 0.500 0.500
0.133 0.612 0.612
0.187 0.187 0.729
0.187 0.729 0.187
0.271 0.813 0.813
0.388 0.388 0.867
0.388 0.867 0.388
0.612 0.133 0.612
0.612 0.612 0.133
0.729 0.187 0.187
0.813 0.271 0.813
0.813 0.813 0.271
0.867 0.388 0.388
```


Entry 8:
The following is a PBE-GGA calculation of a relaxed structure of ZnAgS2N, from Alexandria.

- excess energy over the best structure of this formula in the dataset (eV/atom) = 0.0000
- D(E_F) (states/eV/f.u.) = 3.10
- energy relative to the elements, uncorrected (kJ per mole of atoms) = 95.72
- space-group type = No. 123
- magnetization (μB/cell) = 3.319

```
ZnAgS2N
1.0
4.913 0.000 0.000
0.000 4.913 0.000
0.000 0.000 3.778
Zn Ag S N
1 1 2 1
Direct
0.000 0.000 0.000
0.500 0.500 0.500
0.000 0.500 0.000
0.500 0.000 0.000
0.000 0.000 0.500
```


Entry 9:
The following is a PBE-GGA calculation of a relaxed structure of ErMgScIn, from Alexandria.

- D(E_F) (states/eV/f.u.) = 3.09
- space-group type = No. 216
- magnetization (μB/cell) = 0.002
- ΔE_f (eV/atom) = -0.29

```
ErMgScIn
1.0
7.281 0.000 0.000
0.000 7.281 0.000
0.000 0.000 7.281
Er Mg Sc In
4 4 4 4
Direct
0.000 0.000 0.000
0.000 0.500 0.500
0.500 0.000 0.500
0.500 0.500 0.000
0.250 0.250 0.750
0.250 0.750 0.250
0.750 0.250 0.250
0.750 0.750 0.750
0.000 0.000 0.500
0.000 0.500 0.000
0.500 0.000 0.000
0.500 0.500 0.500
0.250 0.250 0.250
0.250 0.750 0.750
0.750 0.250 0.750
0.750 0.750 0.250
```


Entry 10:
The following is a PBE-GGA calculation of a relaxed structure of Tb3NiGe2, from Alexandria.

- D(E_F) (states/eV/f.u.) = 4.31
- space-group type = No. 62
- magnetization (μB/cell) = 1.962
- ΔE_f (eV/atom) = -0.79

```
Tb3NiGe2
1.0
11.453 0.000 0.000
0.000 4.190 0.000
0.000 0.000 11.359
Tb Ni Ge
12 4 8
Direct
0.057 0.250 0.128
0.119 0.750 0.558
0.219 0.250 0.804
0.281 0.750 0.304
0.381 0.250 0.058
0.443 0.750 0.628
0.557 0.250 0.372
0.619 0.750 0.942
0.719 0.250 0.696
0.781 0.750 0.196
0.881 0.250 0.442
0.943 0.750 0.872
0.129 0.250 0.368
0.371 0.750 0.868
0.629 0.250 0.132
0.871 0.750 0.632
0.019 0.750 0.313
0.193 0.750 0.997
0.307 0.250 0.497
0.481 0.250 0.813
0.519 0.750 0.187
0.693 0.750 0.503
0.807 0.250 0.003
0.981 0.250 0.687
```


Entry 11:
The following is a PBE-GGA calculation of a relaxed structure of MgZrZn2, from Alexandria.

- D(E_F) (states/eV/f.u.) = 1.64
- space-group type = No. 123
- magnetization (μB/cell) = 0.000
- ΔE_f (eV/atom) = -0.22

```
MgZrZn2
1.0
4.532 0.000 0.000
0.000 4.532 0.000
0.000 0.000 3.550
Mg Zr Zn
1 1 2
Direct
0.000 0.000 0.000
0.500 0.500 0.000
0.000 0.500 0.500
0.500 0.000 0.500
```